Computed, not measured: a relaxed TmAg12Hg6 crystal at the GGA-PBE level of DFT.

Calculated values
energy of formation	0.03	eV per atom

a = 7.5524 Å, b = 7.5524 Å, c = 7.5524 Å
α = 102.47°, β = 102.47°, γ = 102.47°
Closest atoms and distances in Å follow each position.
Atoms (fractional coordinates):
Tm  0.0000  0.0000  0.0000  6 Hg 3.08, 6 Ag 3.10
Ag  0.0007  0.7371  0.2628  6 Ag 2.89-3.13, 4 Hg 2.91-3.09, 1 Tm 3.10
Ag  0.1874  0.5966  0.5950  6 Ag 2.79-3.11, 1 Hg 2.98
Ag  0.2628  0.0007  0.7371  6 Ag 2.89-3.13, 4 Hg 2.91-3.09, 1 Tm 3.10
Ag  0.2629  0.7372  0.9993  6 Ag 2.89-3.13, 4 Hg 2.91-3.09, 1 Tm 3.10
Ag  0.4034  0.4050  0.8126  6 Ag 2.79-3.11, 1 Hg 2.98
Ag  0.4050  0.8126  0.4034  6 Ag 2.79-3.11, 1 Hg 2.98
Ag  0.5950  0.1874  0.5966  6 Ag 2.79-3.11, 1 Hg 2.98
Ag  0.5966  0.5950  0.1874  6 Ag 2.79-3.11, 1 Hg 2.98
Ag  0.7371  0.2628  0.0007  6 Ag 2.89-3.13, 4 Hg 2.91-3.09, 1 Tm 3.10
Ag  0.7372  0.9993  0.2629  6 Ag 2.89-3.13, 4 Hg 2.91-3.09, 1 Tm 3.10
Ag  0.8126  0.4034  0.4050  6 Ag 2.79-3.11, 1 Hg 2.98
Ag  0.9993  0.2629  0.7372  6 Ag 2.89-3.13, 4 Hg 2.91-3.09, 1 Tm 3.10
Hg  0.1669  0.1684  0.4296  7 Ag 2.91-3.17, 1 Tm 3.08, 2 Hg 3.09
Hg  0.1684  0.4296  0.1669  7 Ag 2.91-3.17, 1 Tm 3.08, 2 Hg 3.09
Hg  0.4296  0.1669  0.1684  7 Ag 2.91-3.17, 1 Tm 3.08, 2 Hg 3.09
Hg  0.5704  0.8331  0.8316  7 Ag 2.91-3.17, 1 Tm 3.08, 2 Hg 3.09
Hg  0.8316  0.5704  0.8331  7 Ag 2.91-3.17, 1 Tm 3.08, 2 Hg 3.09
Hg  0.8331  0.8316  0.5704  7 Ag 2.91-3.17, 1 Tm 3.08, 2 Hg 3.09



Computed, not measured: a relaxed Tm6Ag5Hg crystal at the GGA-PBE level of DFT.

Calculated values
energy of formation	-0.36	eV per atom

a = 8.0391 Å, b = 8.0391 Å, c = 7.2156 Å
α = 90.00°, β = 90.00°, γ = 143.02°
Closest atoms and distances in Å follow each position.
Atoms (fractional coordinates):
Tm  0.0000  0.0000  0.2463  6 Ag 3.09-3.13, 2 Hg 3.14
Tm  0.0000  0.0000  0.7537  6 Ag 3.09-3.13, 2 Hg 3.14
Tm  0.3321  0.6679  0.2475  7 Ag 3.10-3.13, 1 Hg 3.14
Tm  0.3321  0.6679  0.7525  7 Ag 3.10-3.13, 1 Hg 3.14
Tm  0.6679  0.3321  0.2475  7 Ag 3.10-3.13, 1 Hg 3.14
Tm  0.6679  0.3321  0.7525  7 Ag 3.10-3.13, 1 Hg 3.14
Ag  0.1655  0.8345  0.0000  8 Tm 3.09-3.11
Ag  0.1669  0.8331  0.5000  8 Tm 3.11-3.13
Ag  0.5000  0.5000  0.0000  8 Tm 3.11-3.12
Ag  0.8331  0.1669  0.5000  8 Tm 3.11-3.13
Ag  0.8345  0.1655  0.0000  8 Tm 3.09-3.11
Hg  0.5000  0.5000  0.5000  8 Tm 3.14